<A>
Here is an optimized crystal structure of Li2GaHgN from Alexandria. Energies are from GGA-PBE.

abc: 4.289 4.289 4.006
angles: 90.00 90.00 90.00
Space group P4/mmm (No. 123)
Symmetry-distinct sites (fractional):
Li  0.000  0.500  0.000
Ga  0.000  0.000  0.500
Hg  0.500  0.500  0.500
N  0.000  0.000  0.000

Output
Size of the total moment: 0.0 Bohr magnetons per cell
Calculated density: 6.72 g/cm3

***

<B>
Here is an optimized crystal structure of Li2GaHgN from Alexandria. Energies are from GGA-PBE.

abc: 4.939 4.939 4.828
angles: 90.00 90.00 90.00
Space group P4/mmm (No. 123)
Symmetry-distinct sites (fractional):
Li  0.000  0.500  0.000
Ga  0.000  0.000  0.000
Hg  0.000  0.000  0.500
N  0.500  0.500  0.500

Output
Size of the total moment: 0.2 Bohr magnetons per cell
Calculated density: 4.20 g/cm3

***

Pick <A>: it beats the second-best structure by 1388 meV per atom.

***

<A>
Here is an optimized crystal structure of Li2GaSnHg from Alexandria. Energies are from GGA-PBE.

abc: 6.722 4.149 7.085
angles: 90.00 94.11 90.00
Space group P2_1/m (No. 11)
Symmetry-distinct sites (fractional):
Li  0.156  0.250  0.455
Li  0.339  0.250  0.048
Ga  0.450  0.750  0.359
Sn  0.268  0.750  0.744
Hg  0.065  0.750  0.176

Output
Size of the total moment: 0.0 Bohr magnetons per cell
Calculated density: 6.79 g/cm3

***

<B>
Here is an optimized crystal structure of Li2GaSnHg from Alexandria. Energies are from GGA-PBE.

abc: 4.976 4.976 5.055
angles: 90.00 90.00 90.00
Space group P4/mmm (No. 123)
Symmetry-distinct sites (fractional):
Li  0.000  0.500  0.000
Ga  0.000  0.000  0.500
Sn  0.500  0.500  0.500
Hg  0.000  0.000  0.000

Output
Size of the total moment: 0.0 Bohr magnetons per cell
Calculated density: 5.35 g/cm3

***

Pick <A>: it beats the second-best structure by 353 meV per atom.